This record from Alexandria via LeMat-Bulk describes Nd8Rh3Au2 after structural relaxation. The functional is GGA-PBE.

Lattice parameters (Å, degrees): 5.028 10.181 8.812 125.31 90.00 90.00
Positions (direct):
Nd: 0.000 0.619 0.238
Nd: 0.000 0.381 0.762
Nd: 0.000 0.119 0.238
Nd: 0.000 0.881 0.762
Nd: 0.500 0.635 0.762
Nd: 0.500 0.127 0.762
Nd: 0.500 0.873 0.238
Nd: 0.500 0.365 0.238
Rh: 0.500 0.000 0.000
Rh: 0.000 0.254 0.000
Rh: 0.000 0.746 0.000
Au: 0.500 0.256 0.513
Au: 0.500 0.744 0.487



This record from Alexandria via LeMat-Bulk describes GeB2HC after structural relaxation. The functional is GGA-PBE.

Lattice parameters (Å, degrees): 4.202 3.878 4.202 90.00 90.00 90.00
Positions (direct):
H: 0.500 0.500 0.500
Ge: 0.000 0.000 0.000
B: 0.000 0.000 0.500
B: 0.500 0.000 0.000
C: 0.000 0.500 0.000



This record from Alexandria via LeMat-Bulk describes NaPmMg2Br8 after structural relaxation. The functional is GGA-PBE.

Lattice parameters (Å, degrees): 6.817 6.553 8.260 90.00 89.99 89.78
Positions (direct):
Na: 0.000 0.000 0.500
Pm: 0.000 0.000 0.000
Mg: 0.500 0.500 0.735
Mg: 0.500 0.500 0.265
Br: 0.184 0.758 0.245
Br: 0.663 0.716 0.000
Br: 0.816 0.242 0.245
Br: 0.816 0.242 0.755
Br: 0.337 0.284 0.000
Br: 0.184 0.758 0.755
Br: 0.660 0.715 0.500
Br: 0.340 0.285 0.500



This record from Alexandria via LeMat-Bulk describes BaB2PdW after structural relaxation. The functional is GGA-PBE.

Lattice parameters (Å, degrees): 4.552 5.350 4.552 90.00 90.00 90.00
Positions (direct):
B: 0.000 0.000 0.500
B: 0.500 0.000 0.000
Pd: 0.500 0.500 0.500
Ba: 0.000 0.000 0.000
W: 0.000 0.500 0.000



This record from Alexandria via LeMat-Bulk describes La2In2I after structural relaxation. The functional is GGA-PBE.

Lattice parameters (Å, degrees): 4.735 4.735 8.690 90.00 105.81 120.00
Positions (direct):
La: 0.824 0.412 0.235
La: 0.176 0.588 0.765
In: 0.364 0.182 0.547
In: 0.636 0.818 0.453
I: 0.000 0.000 0.000



This record from Alexandria via LeMat-Bulk describes KTa2Rh after structural relaxation. The functional is GGA-PBE.

Lattice parameters (Å, degrees): 4.785 4.785 4.785 60.00 60.00 60.00
Positions (direct):
K: 0.500 0.500 0.500
Rh: 0.750 0.750 0.750
Ta: 0.000 0.000 0.000
Ta: 0.250 0.250 0.250

Results
ΔE to the lowest computed polymorph: 0.900 eV per atom



This record from Alexandria via LeMat-Bulk describes Nd8PtRh3I4 after structural relaxation. The functional is GGA-PBE.

Lattice parameters (Å, degrees): 8.420 9.471 8.420 116.37 120.00 90.00
Positions (direct):
Nd: 0.231 0.685 0.954
Nd: 0.231 0.685 0.462
Nd: 0.271 0.314 0.542
Nd: 0.723 0.685 0.954
Nd: 0.277 0.315 0.046
Nd: 0.729 0.686 0.458
Nd: 0.769 0.315 0.538
Nd: 0.769 0.315 0.046
Pt: 0.000 0.500 0.000
Rh: 0.500 0.500 0.000
Rh: 0.500 0.500 0.500
Rh: 0.000 0.500 0.500
I: 0.500 0.000 0.000
I: 0.500 0.000 0.500
I: 0.000 0.000 0.000
I: 0.000 0.000 0.500



This record from Alexandria via LeMat-Bulk describes TmMo2N after structural relaxation. The functional is GGA-PBE.

Lattice parameters (Å, degrees): 3.296 3.296 7.870 77.91 77.91 60.00
Positions (direct):
Mo: 0.126 0.126 0.621
Mo: 0.874 0.874 0.379
Tm: 0.000 0.000 0.000
N: 0.500 0.500 0.500



This record from Alexandria via LeMat-Bulk describes Sr8Ag2Sn after structural relaxation. The functional is GGA-PBE.

Lattice parameters (Å, degrees): 6.425 8.985 8.985 112.26 99.00 99.00
Positions (direct):
Sr: 0.574 0.333 0.074
Sr: 0.574 0.074 0.333
Sr: 0.183 0.372 0.372
Sr: 0.992 0.229 0.771
Sr: 0.992 0.771 0.229
Sr: 0.808 0.636 0.636
Sr: 0.393 0.932 0.673
Sr: 0.393 0.673 0.932
Ag: 0.495 0.692 0.319
Ag: 0.495 0.319 0.692
Sn: 0.101 0.002 0.002



This record from Alexandria via LeMat-Bulk describes ZrPa2Ti after structural relaxation. The functional is GGA-PBE.

Lattice parameters (Å, degrees): 5.073 5.073 5.073 60.00 60.00 60.00
Positions (direct):
Pa: 0.250 0.250 0.250
Pa: 0.750 0.750 0.750
Zr: 0.000 0.000 0.000
Ti: 0.500 0.500 0.500

Results
ΔE to the lowest computed polymorph: 0.215 eV per atom



Number 1: theoretical density 8.4 g/cm³, E -73.28 eV/cell. Number 2: theoretical density 2.6 g/cm³, E -17.48 eV/cell. Number 3: theoretical density 3.9 g/cm³, E -41.45 eV/cell. Number 4: theoretical density 6.7 g/cm³, E -16.44 eV/cell. Number 5: theoretical density 6.6 g/cm³, E -20.59 eV/cell. Number 6: theoretical density 10.8 g/cm³, E -27.37 eV/cell. Number 7: theoretical density 7.2 g/cm³, E -88.25 eV/cell. Number 8: theoretical density 8.7 g/cm³, E -33.22 eV/cell. Number 9: theoretical density 3.7 g/cm³, E -25.37 eV/cell. Number 10: theoretical density 10.8 g/cm³, E -34.15 eV/cell.